1.
The following is a DFT calculation (meta-GGA SCAN) of a PBEsol-optimized structure of Ce4S4Cl2O.

For the total energy, the calculation gives -535.3 eV for the cell shown. The value obtained for the density of states at the Fermi level is 0.4268 states/eV per atom. As for the space group: Cmc2_1 (36).

Cell lengths 9.098, 9.098, 6.798 Å; angles 90.00, 90.00, 121.30 degrees
Fractional positions:
Ce 0.108 0.307 0.465
Ce 0.185 0.815 0.500
Ce 0.304 0.696 0.946
Ce 0.307 0.108 0.965
Ce 0.693 0.892 0.465
Ce 0.696 0.304 0.446
Ce 0.815 0.185 0.000
Ce 0.892 0.693 0.965
S 0.028 0.547 0.229
S 0.040 0.960 0.254
S 0.371 0.629 0.568
S 0.453 0.972 0.229
S 0.547 0.028 0.729
S 0.629 0.371 0.068
S 0.960 0.040 0.754
S 0.972 0.453 0.729
Cl 0.236 0.367 0.069
Cl 0.367 0.236 0.569
Cl 0.633 0.764 0.069
Cl 0.764 0.633 0.569
O 0.165 0.835 0.844
O 0.835 0.165 0.344

2.
The following is a DFT calculation (meta-GGA SCAN) of a PBEsol-optimized structure of ScTa2TeMo.

For the total energy, the calculation gives -214.1 eV for the cell shown. The value obtained for the density of states at the Fermi level is 1.0745 states/eV per atom. As for the space group: P4/mmm (123).

Cell lengths 4.799, 4.799, 5.102 Å; angles 90.00, 90.00, 90.00 degrees
Fractional positions:
Sc 0.000 0.000 0.000
Ta 0.000 0.500 0.500
Ta 0.500 0.000 0.500
Te 0.500 0.500 0.000
Mo 0.500 0.500 0.500

3.
The following is a DFT calculation (meta-GGA SCAN) of a PBEsol-optimized structure of Ca3CdB.

For the total energy, the calculation gives -66.3 eV for the cell shown. For the formation energy from the elements, the calculation gives 112 meV/atom. The value obtained for the density of states at the Fermi level is 0.8434 states/eV per atom. As for the space group: Pm-3m (221).

Cell lengths 5.225, 5.225, 5.225 Å; angles 90.00, 90.00, 90.00 degrees
Fractional positions:
Ca 0.000 0.000 0.500
Ca 0.000 0.500 0.000
Ca 0.500 0.000 0.000
Cd 0.500 0.500 0.500
B 0.000 0.000 0.000

4.
The following is a DFT calculation (meta-GGA SCAN) of a PBEsol-optimized structure of BeTl3Ge.

For the total energy, the calculation gives -238.1 eV for the cell shown. For the formation energy from the elements, the calculation gives 493 meV/atom. The value obtained for the density of states at the Fermi level is 0.5408 states/eV per atom. As for the space group: Pm-3m (221).

Cell lengths 4.929, 4.929, 4.929 Å; angles 90.00, 90.00, 90.00 degrees
Fractional positions:
Be 0.000 0.000 0.000
Tl 0.000 0.000 0.500
Tl 0.000 0.500 0.000
Tl 0.500 0.000 0.000
Ge 0.500 0.500 0.500